No. 1
Below is a relaxed YMgSi2 crystal, with properties calculated at the PBE level.

abc: 3.167 3.890 6.273
angles: 90.00 90.00 90.00
Positions (direct):
Y1 0.000 0.000 0.000
Mg1 0.000 0.000 0.500
Si1 0.500 0.500 0.292
Si2 0.500 0.500 0.708

Calculated values
**V**: 77.3 Å³/cell
**Formation energy from raw total energies**: -1.001 eV/f.u.
**Electronic total energy**: -4.98 eV/atom
**Spin magnetization**: 0.000 μB/atom

---

No. 2
Below is a relaxed CaCu3As2 crystal, with properties calculated at the PBE level.

abc: 7.761 7.761 7.761
angles: 148.55 122.53 66.99
Positions (direct):
Ca1 0.136 0.136 0.000
Ca2 0.864 0.864 0.000
Cu1 0.105 0.318 0.787
Cu2 0.339 0.000 0.339
Cu3 0.469 0.682 0.787
Cu4 0.531 0.318 0.213
Cu5 0.661 0.000 0.661
Cu6 0.895 0.682 0.213
As1 0.177 0.500 0.677
As2 0.316 0.816 0.500
As3 0.684 0.184 0.500
As4 0.823 0.500 0.323

Calculated values
**V**: 203.2 Å³/cell
**Electronic total energy**: -4.21 eV/atom
**Spin magnetization**: 0.000 μB/atom

---

No. 3
Below is a relaxed LiMg3Ni8 crystal, with properties calculated at the PBE level.

abc: 8.288 8.288 8.288
angles: 33.66 33.66 33.66
Positions (direct):
Li1 0.000 0.000 0.000
Mg1 0.372 0.372 0.372
Mg2 0.499 0.499 0.499
Mg3 0.877 0.877 0.877
Ni1 0.187 0.187 0.187
Ni2 0.437 0.437 0.936
Ni3 0.437 0.936 0.437
Ni4 0.437 0.936 0.936
Ni5 0.687 0.687 0.687
Ni6 0.936 0.437 0.437
Ni7 0.936 0.437 0.936
Ni8 0.936 0.936 0.437

Calculated values
**V**: 155.8 Å³/cell
**Electronic total energy**: -4.59 eV/atom
**Spin magnetization**: 0.001 μB/atom

---

No. 4
Below is a relaxed DyYMgOs crystal, with properties calculated at the PBE level.

abc: 3.448 3.448 8.122
angles: 90.00 90.00 90.00
Positions (direct):
Dy1 0.000 0.000 0.000
Y1 0.000 0.000 0.406
Mg1 0.500 0.500 0.704
Os1 0.500 0.500 0.201

Calculated values
**V**: 96.5 Å³/cell
**Electronic total energy**: -6.16 eV/atom
**Energy relative to the lowest polymorph listed for this composition**: 0 meV per atom
**Spin magnetization**: 0.000 μB/atom

---

No. 5
Below is a relaxed Zn4ReRh5 crystal, with properties calculated at the PBE level.

abc: 2.897 2.897 16.572
angles: 90.00 90.00 90.00
Positions (direct):
Zn1 0.000 0.000 0.097
Zn2 0.000 0.000 0.290
Zn3 0.000 0.000 0.710
Zn4 0.000 0.000 0.903
Re1 0.000 0.000 0.500
Rh1 0.500 0.500 0.000
Rh2 0.500 0.500 0.194
Rh3 0.500 0.500 0.394
Rh4 0.500 0.500 0.606
Rh5 0.500 0.500 0.806

Calculated values
**V**: 139.0 Å³/cell
**Electronic total energy**: -5.74 eV/atom
**Spin magnetization**: 0.000 μB/atom

---

No. 6
Below is a relaxed La3Sm3Th4 crystal, with properties calculated at the PBE level.

abc: 4.055 9.347 9.347
angles: 90.24 90.00 90.00
Positions (direct):
La1 0.000 0.000 0.000
La2 0.500 0.165 0.660
La3 0.500 0.660 0.165
Sm1 0.000 0.326 0.326
Sm2 0.000 0.501 0.826
Sm3 0.000 0.826 0.501
Th1 0.500 0.031 0.295
Th2 0.500 0.295 0.031
Th3 0.500 0.532 0.532
Th4 0.500 0.795 0.795

Calculated values
**V**: 354.2 Å³/cell
**Electronic total energy**: -5.66 eV/atom
**Spin magnetization**: 0.000 μB/atom